A relaxed YErSn crystal. Source: Alexandria, functional GGA-PBE.

a b c (Å): 3.3397 3.3397 8.9903
angles (deg): 100.70 100.70 90.00
Closest atoms and distances in Å follow each position.
Positions (direct):
1 Y 0.9571 0.9571 0.9142  1 Sn 3.07, 4 Y 3.34
2 Er 0.7591 0.7591 0.5181  4 Sn 3.21, 4 Er 3.34, 1 Y 3.44
3 Sn 0.1338 0.1338 0.2677  1 Y 3.07, 4 Er 3.21, 4 Sn 3.34

space group = I4mm (107)
total DFT energy (no corrections) = -4.84 eV/atom
excess energy over the best structure of this formula in the dataset = 780.2 meV per atom
formation energy = 0.507 eV/f.u.
density of states at the Fermi level = 3.93 states/eV/f.u.